Entry from the Alexandria database: Rb2NiWF6 after structural relaxation (GGA+U).

Lattice parameters (Å, degrees): 6.3251 6.3251 8.4128 90.00 90.00 90.00
Space group I4/mmm (No. 139)
Inequivalent atoms, fractional coordinates:
1 Rb 0.0000 0.5000 0.2500 x4
2 Ni 0.0000 0.0000 0.0000 x2
3 W 0.0000 0.0000 0.5000 x2
4 F 0.0000 0.0000 0.2480 x4
5 F 0.2364 0.2364 0.5000 x8

Output
energy: -46.72 eV per formula unit
total moment: 2.00 μB/f.u.